[1]
The following is a DFT calculation (PBE) of a relaxed structure of TbCe3Ga8.

Calculated values
- SG: R3m, No. 160
- E_tot: -0.325 Ry per atom
- Formation energy: -0.533 eV per atom
- Crystal system: trigonal
- V: 244.2 Å³/cell

Cell: 9.651 9.651 9.651 Å, 33.53 33.53 33.53°
Fractional coordinates of all 12 atoms:
Tb (0.000, 0.000, 0.000)
Ce (0.127, 0.127, 0.127)
Ce (0.500, 0.500, 0.500)
Ce (0.623, 0.623, 0.623)
Ga (0.060, 0.562, 0.562)
Ga (0.063, 0.063, 0.564)
Ga (0.063, 0.564, 0.063)
Ga (0.312, 0.312, 0.312)
Ga (0.562, 0.060, 0.562)
Ga (0.562, 0.562, 0.060)
Ga (0.564, 0.063, 0.063)
Ga (0.812, 0.812, 0.812)



[2]
The following is a DFT calculation (PBE) of a relaxed structure of TbCe5Ga6.

Calculated values
- SG: Immm, No. 71
- E_tot: -0.358 Ry per atom
- Formation energy: -0.497 eV per atom
- Crystal system: orthorhombic
- V: 274.2 Å³/cell

Cell: 8.499 8.499 8.499 Å, 148.35 120.41 69.06°
Fractional coordinates of all 12 atoms:
Tb (0.000, 0.000, 0.000)
Ce (0.178, 0.678, 0.500)
Ce (0.332, 0.332, 0.000)
Ce (0.500, 0.000, 0.500)
Ce (0.668, 0.668, 0.000)
Ce (0.822, 0.322, 0.500)
Ga (0.085, 0.838, 0.247)
Ga (0.245, 0.500, 0.745)
Ga (0.408, 0.162, 0.247)
Ga (0.592, 0.838, 0.753)
Ga (0.755, 0.500, 0.255)
Ga (0.915, 0.162, 0.753)



[3]
The following is a DFT calculation (PBE) of a relaxed structure of Tb2CeGa.

Calculated values
- Excess energy over the best structure of this formula in the dataset: 0.97 eV/f.u.
- SG: R3m, No. 160
- E_tot: -0.335 Ry per atom
- Formation energy: 0.002 eV per atom
- Crystal system: trigonal
- V: 117.9 Å³/cell

Cell: 6.218 6.218 6.218 Å, 47.08 47.08 47.08°
Fractional coordinates of all 4 atoms:
Tb (0.000, 0.000, 0.000)
Tb (0.225, 0.225, 0.225)
Ce (0.441, 0.441, 0.441)
Ga (0.637, 0.637, 0.637)



[4]
The following is a DFT calculation (PBE) of a relaxed structure of TbCeGa2.

Calculated values
- SG: P4/mmm, No. 123
- E_tot: -0.344 Ry per atom
- Formation energy: -0.532 eV per atom
- Crystal system: tetragonal
- V: 92.8 Å³/cell

Cell: 3.398 3.398 8.032 Å, 90.00 90.00 90.00°
Fractional coordinates of all 4 atoms:
Tb (0.000, 0.000, 0.000)
Ce (0.000, 0.000, 0.500)
Ga (0.500, 0.500, 0.245)
Ga (0.500, 0.500, 0.755)